# 1
Material: La5ScGe4
Method: DFT, GGA-PBE
State: optimized geometry

As for the energy of formation: -14.27 kcal/mol of atoms.

It has space group C2/m (No. 12), with a = 16.285 Å, b = 5.047 Å, c = 7.019 Å, α = 90.00°, β = 91.52° and γ = 90.00°. The distinct sites, in fractional coordinates, are La at (0.000, 0.000, 0.000), La at (0.163, 0.500, 0.008), La at (0.166, 0.500, 0.505), Sc at (0.000, 0.000, 0.500), Ge at (0.006, 0.500, 0.276) and Ge at (0.171, 0.000, 0.750).

=====

# 2
Material: HfIn3Sb
Method: DFT, GGA-PBE
State: optimized geometry

For the energy relative to the elements, uncorrected, the calculation gives 0.716 eV/atom. The excess energy over the best structure of this formula in the dataset comes out at 0 meV per atom.

It has space group Pm-3m (No. 221), with a = 5.582 Å, b = 5.582 Å, c = 5.582 Å, α = 90.00°, β = 90.00° and γ = 90.00°. The distinct sites, in fractional coordinates, are Hf at (0.000, 0.000, 0.000), In at (0.000, 0.000, 0.500) and Sb at (0.500, 0.500, 0.500).

=====

# 3
Material: MgTl2HgIr
Method: DFT, GGA-PBE
State: optimized geometry

As for the energy of formation: 0.39 kcal/mol of atoms.

It has space group P4/mmm (No. 123), with a = 5.300 Å, b = 5.300 Å, c = 5.125 Å, α = 90.00°, β = 90.00° and γ = 90.00°. The distinct sites, in fractional coordinates, are Mg at (0.000, 0.000, 0.000), Tl at (0.000, 0.500, 0.500), Hg at (0.500, 0.500, 0.000) and Ir at (0.000, 0.000, 0.500).

=====

# 4
Material: Ac2TbPm2
Method: DFT, GGA-PBE
State: optimized geometry

As for the energy of formation: 10.51 kcal/mol of atoms. The excess energy over the best structure of this formula in the dataset comes out at 242 meV per atom.

It has space group I4/mmm (No. 139), with a = 4.945 Å, b = 4.945 Å, c = 16.673 Å, α = 90.00°, β = 90.00° and γ = 90.00°. The distinct sites, in fractional coordinates, are Ac at (0.000, 0.500, 0.250), Tb at (0.000, 0.000, 0.000) and Pm at (0.000, 0.000, 0.409).

=====

# 5
Material: Cs2Na4CdPb2
Method: DFT, GGA-PBE
State: optimized geometry

As for the energy of formation: -1.86 kcal/mol of atoms.

It has space group C2/m (No. 12), with a = 14.535 Å, b = 8.591 Å, c = 5.877 Å, α = 90.00°, β = 98.97° and γ = 90.00°. The distinct sites, in fractional coordinates, are Cs at (0.109, 0.000, 0.247), Na at (0.161, 0.306, 0.741), Cd at (0.000, 0.500, 0.000) and Pb at (0.189, 0.500, 0.251).

=====

# 6
Material: Ho2InPb
Method: DFT, GGA-PBE
State: optimized geometry

As for the energy of formation: -10.41 kcal/mol of atoms.

It has space group P2_1/m (No. 11), with a = 6.170 Å, b = 4.330 Å, c = 8.944 Å, α = 90.00°, β = 108.05° and γ = 90.00°. The distinct sites, in fractional coordinates, are Ho at (0.196, 0.250, 0.433), Ho at (0.295, 0.750, 0.066), In at (0.112, 0.250, 0.796) and Pb at (0.391, 0.750, 0.704).